# PBE-GGA Zn3Pt, relaxed
# DOS(E_F)	0.37	states/eV/atom
# DFT total energy	-2.79	eV/atom
# ΔE_f	-328	meV/atom
data_Zn3Pt
_chemical_formula_sum 'Zn3 Pt1'
_cell_length_a 2.834
_cell_length_b 4.377
_cell_length_c 4.722
_cell_angle_alpha 90.00
_cell_angle_beta 90.00
_cell_angle_gamma 90.00
_symmetry_space_group_name_H-M 'P m m 2'
_symmetry_Int_Tables_number 25
loop_
_symmetry_equiv_pos_as_xyz
'x,y,z'
'-x,-y,z'
'-x,y,z'
'x,-y,z'
loop_
_atom_site_label
_atom_site_type_symbol
_atom_site_fract_x
_atom_site_fract_y
_atom_site_fract_z
Zn1 Zn 0.000 0.000 0.000
Zn2 Zn 0.000 0.500 0.337
Zn3 Zn 0.500 0.500 0.836
Pt1 Pt 0.500 0.000 0.503

***

# PBE-GGA ZnPt3, relaxed
# DOS(E_F)	1.82	states/eV/atom
# DFT total energy	-4.80	eV/atom
# ΔE_f	51	meV/atom
data_ZnPt3
_chemical_formula_sum 'Zn2 Pt6'
_cell_length_a 5.037
_cell_length_b 5.037
_cell_length_c 5.037
_cell_angle_alpha 90.00
_cell_angle_beta 90.00
_cell_angle_gamma 90.00
_symmetry_space_group_name_H-M 'P m -3 n'
_symmetry_Int_Tables_number 223
_symmetry_space_group_name_Hall '-P 4n 2 3'
loop_
_atom_site_label
_atom_site_type_symbol
_atom_site_fract_x
_atom_site_fract_y
_atom_site_fract_z
Zn1 Zn 0.000 0.000 0.000
Pt1 Pt 0.000 0.250 0.500